The following is a PBE+U calculation of U3Tl2WO12 after structural relaxation, from Alexandria.

Geometry as POSCAR:
```
U3Tl2WO12
1.0
3.940 2.275 6.270
-3.940 2.275 6.270
0.000 -4.549 6.270
U Tl W O
3 2 1 12
Direct
0.000 0.500 0.500
0.500 0.000 0.500
0.500 0.500 0.000
0.107 0.107 0.107
0.893 0.893 0.893
0.500 0.500 0.500
0.178 0.178 0.569
0.178 0.569 0.178
0.206 0.559 0.559
0.431 0.822 0.822
0.441 0.441 0.794
0.441 0.794 0.441
0.559 0.206 0.559
0.559 0.559 0.206
0.569 0.178 0.178
0.794 0.441 0.441
0.822 0.431 0.822
0.822 0.822 0.431
```

Volume, Å³/cell: 337.2
Total magnetization, Bohr magnetons per cell: 2.0
Calculated total energy, eV per atom: -8.380
DOS at the Fermi energy, states/eV/f.u.: 9.51